Entry 1:
The following is a DFT calculation (PBE-GGA) of a relaxed ZrUSn crystal.

Cell lengths 5.047, 5.047, 5.047 Å; angles 60.00, 60.00, 60.00 degrees
Positions (direct):
Zr 0.000 0.000 0.000
U 0.750 0.750 0.750
Sn 0.500 0.500 0.500

Crystal system: cubic
E (eV per atom): -7.030
Total moment (Bohr magnetons per cell): 5.4

***

Entry 2:
The following is a DFT calculation (PBE-GGA) of a relaxed HoTcPd crystal.

Cell lengths 4.535, 4.535, 4.535 Å; angles 60.00, 60.00, 60.00 degrees
Positions (direct):
Ho 0.000 0.000 0.000
Tc 0.500 0.500 0.500
Pd 0.250 0.250 0.250

Energy above the most stable polymorph in this dataset (eV per formula unit): 0.00
Crystal system: cubic
Total moment (Bohr magnetons per cell): 2.3

***

Entry 3:
The following is a DFT calculation (PBE-GGA) of a relaxed LuAsPO crystal.

Cell lengths 4.161, 4.161, 7.930 Å; angles 90.00, 90.00, 90.00 degrees
Positions (direct):
Lu 0.250 0.250 0.109
Lu 0.750 0.750 0.891
As 0.250 0.750 0.500
As 0.750 0.250 0.500
P 0.250 0.250 0.676
P 0.750 0.750 0.324
O 0.250 0.750 0.000
O 0.750 0.250 0.000

Energy above the most stable polymorph in this dataset (eV per formula unit): 0.06
Crystal system: tetragonal
Total moment (Bohr magnetons per cell): 0.0

***

Entry 4:
The following is a DFT calculation (PBE-GGA) of a relaxed Li3AuO crystal.

Cell lengths 3.936, 3.936, 3.936 Å; angles 90.00, 90.00, 90.00 degrees
Positions (direct):
Li 0.000 0.000 0.500
Li 0.000 0.500 0.000
Li 0.500 0.000 0.000
Au 0.500 0.500 0.500
O 0.000 0.000 0.000

Crystal system: cubic
E (eV per atom): -3.987

***

Entry 5:
The following is a DFT calculation (PBE-GGA) of a relaxed Pr2PbO4 crystal.

Cell lengths 7.217, 7.217, 7.217 Å; angles 60.00, 60.00, 60.00 degrees
Positions (direct):
Pr 0.000 0.000 0.000
Pr 0.000 0.000 0.500
Pr 0.000 0.500 0.000
Pr 0.500 0.000 0.000
Pb 0.375 0.375 0.375
Pb 0.625 0.625 0.625
O 0.206 0.765 0.765
O 0.235 0.235 0.235
O 0.235 0.235 0.794
O 0.235 0.794 0.235
O 0.765 0.206 0.765
O 0.765 0.765 0.206
O 0.765 0.765 0.765
O 0.794 0.235 0.235

Crystal system: cubic
E (eV per atom): -7.308
Total moment (Bohr magnetons per cell): 0.0

***

Entry 6:
The following is a DFT calculation (PBE-GGA) of a relaxed BaLiDySe3 crystal.

Cell lengths 7.348, 7.348, 10.739 Å; angles 90.00, 90.00, 146.28 degrees
Positions (direct):
Ba 0.246 0.754 0.750
Ba 0.754 0.246 0.250
Li 0.029 0.971 0.250
Li 0.971 0.029 0.750
Dy 0.500 0.500 0.000
Dy 0.500 0.500 0.500
Se 0.133 0.867 0.059
Se 0.133 0.867 0.441
Se 0.431 0.569 0.250
Se 0.569 0.431 0.750
Se 0.867 0.133 0.559
Se 0.867 0.133 0.941

Energy above the most stable polymorph in this dataset (eV per formula unit): 0.00
Crystal system: orthorhombic
Total moment (Bohr magnetons per cell): 0.0